1.
# Nb5Ni | the Alexandria database | PBE-GGA | relaxed
# Offset from the most stable computed form = 27.2 meV per atom
# N(E_F) = 11.55 states/eV per cell
# E_tot = -56.15 eV per formula unit
data_Nb5Ni
_chemical_formula_sum 'Nb10 Ni2'
_space_group_name_H-M_alt 'C m m m'
_space_group_IT_number 65
_space_group_name_Hall '-C 2 2'
_cell_length_a 4.569
_cell_length_b 9.927
_cell_length_c 4.553
_cell_angle_alpha 90.00
_cell_angle_beta 90.00
_cell_angle_gamma 90.00
loop_
_atom_site_label
_atom_site_fract_x
_atom_site_fract_y
_atom_site_fract_z
Nb1 0.000 0.000 0.000
Nb2 0.000 0.163 0.500
Nb3 0.000 0.338 0.000
Ni1 0.000 0.500 0.500

=====

2.
# NbNi | the Alexandria database | PBE-GGA | relaxed
# N(E_F) = 19.36 states/eV per cell
# E_tot = -14.83 eV per formula unit
data_NbNi
_chemical_formula_sum 'Nb8 Ni8'
_space_group_name_H-M_alt 'P 4/m'
_space_group_IT_number 83
_space_group_name_Hall '-P 4'
_cell_length_a 10.982
_cell_length_b 10.982
_cell_length_c 2.631
_cell_angle_alpha 90.00
_cell_angle_beta 90.00
_cell_angle_gamma 90.00
loop_
_atom_site_label
_atom_site_fract_x
_atom_site_fract_y
_atom_site_fract_z
Nb1 0.010 0.187 0.000
Nb2 0.103 0.601 0.500
Ni1 0.127 0.379 0.500
Ni2 0.235 0.759 0.000

=====

3.
# Nb3Ni8 | the Alexandria database | PBE-GGA | relaxed
# N(E_F) = 11.34 states/eV per cell
# E_tot = -76.15 eV per formula unit
data_Nb3Ni8
_chemical_formula_sum 'Nb3 Ni8'
_space_group_name_H-M_alt 'P -1'
_space_group_IT_number 2
_space_group_name_Hall '-P 1'
_cell_length_a 4.551
_cell_length_b 6.126
_cell_length_c 6.230
_cell_angle_alpha 117.95
_cell_angle_beta 101.13
_cell_angle_gamma 96.13
loop_
_atom_site_label
_atom_site_fract_x
_atom_site_fract_y
_atom_site_fract_z
Nb1 0.000 0.000 0.000
Nb2 0.000 0.000 0.500
Nb3 0.000 0.500 0.000
Ni1 0.209 0.446 0.398
Ni2 0.420 0.766 0.901
Ni3 0.440 0.355 0.769
Ni4 0.475 0.079 0.356

=====

4.
# NbNi3 | the Alexandria database | PBE-GGA | relaxed
# N(E_F) = 6.83 states/eV per cell
# E_tot = -26.91 eV per formula unit
data_NbNi3
_chemical_formula_sum 'Nb1 Ni3'
_space_group_name_H-M_alt 'P -6 m 2'
_space_group_IT_number 187
_space_group_name_Hall 'P -6 2'
_cell_length_a 2.6959
_cell_length_b 2.6959
_cell_length_c 8.2872
_cell_angle_alpha 90.00
_cell_angle_beta 90.00
_cell_angle_gamma 120.00
loop_
_atom_site_label
_atom_site_fract_x
_atom_site_fract_y
_atom_site_fract_z
Nb1 0.0000 0.0000 0.0000
Ni1 0.0000 0.0000 0.5000
Ni2 0.3333 0.6667 0.2646

=====

5.
# Nb6Ni7 | the Alexandria database | PBE-GGA | relaxed
# N(E_F) = 48.14 states/eV per cell
# E_tot = -103.79 eV per formula unit
data_Nb6Ni7
_chemical_formula_sum 'Nb18 Ni21'
_space_group_name_H-M_alt 'R -3 m'
_space_group_IT_number 166
_space_group_name_Hall '-R 3 2"'
_cell_length_a 4.8834
_cell_length_b 4.8834
_cell_length_c 26.5492
_cell_angle_alpha 90.00
_cell_angle_beta 90.00
_cell_angle_gamma 120.00
loop_
_atom_site_label
_atom_site_fract_x
_atom_site_fract_y
_atom_site_fract_z
Nb1 0.0000 0.0000 0.0498
Nb2 0.0000 0.0000 0.1558
Nb3 0.0000 0.0000 0.3309
Ni1 0.0000 0.0000 0.5000
Ni2 0.0002 0.5001 0.0907

=====

6.
# NbNi | the Alexandria database | PBE-GGA | relaxed
# N(E_F) = 11.43 states/eV per cell
# E_tot = -15.32 eV per formula unit
data_NbNi
_chemical_formula_sum 'Nb4 Ni4'
_space_group_name_H-M_alt 'P 42/m n m'
_space_group_IT_number 136
_space_group_name_Hall '-P 4n 2n'
_cell_length_a 4.987
_cell_length_b 4.987
_cell_length_c 5.050
_cell_angle_alpha 90.00
_cell_angle_beta 90.00
_cell_angle_gamma 90.00
loop_
_atom_site_label
_atom_site_fract_x
_atom_site_fract_y
_atom_site_fract_z
Nb1 0.195 0.195 0.000
Ni1 0.177 0.177 0.500

=====

7.
# NbNi | the Alexandria database | PBE-GGA | relaxed
# N(E_F) = 14.28 states/eV per cell
# E_tot = -13.58 eV per formula unit
data_NbNi
_chemical_formula_sum 'Nb4 Ni4'
_space_group_name_H-M_alt 'F -4 3 m'
_space_group_IT_number 216
_space_group_name_Hall 'F -4 2 3'
_cell_length_a 5.490
_cell_length_b 5.490
_cell_length_c 5.490
_cell_angle_alpha 90.00
_cell_angle_beta 90.00
_cell_angle_gamma 90.00
loop_
_atom_site_label
_atom_site_fract_x
_atom_site_fract_y
_atom_site_fract_z
Nb1 0.000 0.000 0.000
Ni1 0.250 0.250 0.250

=====

8.
# NbNi12 | the Alexandria database | PBE-GGA | relaxed
# N(E_F) = 125.49 states/eV per cell
# E_tot = -65.69 eV per formula unit
data_NbNi12
_chemical_formula_sum 'Nb4 Ni48'
_space_group_name_H-M_alt 'F m -3 m'
_space_group_IT_number 225
_space_group_name_Hall '-F 4 2 3'
_cell_length_a 9.392
_cell_length_b 9.392
_cell_length_c 9.392
_cell_angle_alpha 90.00
_cell_angle_beta 90.00
_cell_angle_gamma 90.00
loop_
_atom_site_label
_atom_site_fract_x
_atom_site_fract_y
_atom_site_fract_z
Nb1 0.000 0.000 0.000
Ni1 0.000 0.170 0.330

=====

9.
# NbNi | the Alexandria database | PBE-GGA | relaxed
# N(E_F) = 35.99 states/eV per cell
# E_tot = -15.60 eV per formula unit
data_NbNi
_chemical_formula_sum 'Nb16 Ni16'
_space_group_name_H-M_alt 'F d d d'
_space_group_IT_number 70
_cell_length_a 6.417
_cell_length_b 7.955
_cell_length_c 9.661
_cell_angle_alpha 90.00
_cell_angle_beta 90.00
_cell_angle_gamma 90.00
loop_
_space_group_symop_operation_xyz
'x,y,z'
'-x,-y,-z'
'-x+1/4,-y+1/4,z'
'x+1/4,y+1/4,-z'
'x,-y+1/4,-z+1/4'
'-x,y+1/4,z+1/4'
'-x+1/4,y,-z+1/4'
'x+1/4,-y,z+1/4'
'x,y+1/2,z+1/2'
'-x,-y+1/2,-z+1/2'
'-x+1/4,-y+3/4,z+1/2'
'x+1/4,y+3/4,-z+1/2'
'x,-y+3/4,-z+3/4'
'-x,y+3/4,z+3/4'
'-x+1/4,y+1/2,-z+3/4'
'x+1/4,-y+1/2,z+3/4'
'x+1/2,y,z+1/2'
'-x+1/2,-y,-z+1/2'
'-x+3/4,-y+1/4,z+1/2'
'x+3/4,y+1/4,-z+1/2'
'x+1/2,-y+1/4,-z+3/4'
'-x+1/2,y+1/4,z+3/4'
'-x+3/4,y,-z+3/4'
'x+3/4,-y,z+3/4'
'x+1/2,y+1/2,z'
'-x+1/2,-y+1/2,-z'
'-x+3/4,-y+3/4,z'
'x+3/4,y+3/4,-z'
'x+1/2,-y+3/4,-z+1/4'
'-x+1/2,y+3/4,z+1/4'
'-x+3/4,y+1/2,-z+1/4'
'x+3/4,-y+1/2,z+1/4'
loop_
_atom_site_label
_atom_site_fract_x
_atom_site_fract_y
_atom_site_fract_z
Nb1 0.125 0.328 0.125
Ni1 0.057 0.375 0.875

=====

10.
# NbNi3 | the Alexandria database | PBE-GGA | relaxed
# N(E_F) = 18.45 states/eV per cell
# E_tot = -27.93 eV per formula unit
data_NbNi3
_chemical_formula_sum 'Nb4 Ni12'
_space_group_name_H-M_alt 'F m -3 m'
_space_group_IT_number 225
_space_group_name_Hall '-F 4 2 3'
_cell_length_a 5.873
_cell_length_b 5.873
_cell_length_c 5.873
_cell_angle_alpha 90.00
_cell_angle_beta 90.00
_cell_angle_gamma 90.00
loop_
_atom_site_label
_atom_site_fract_x
_atom_site_fract_y
_atom_site_fract_z
Nb1 0.000 0.000 0.000
Ni1 0.000 0.000 0.500
Ni2 0.250 0.250 0.250

=====

11.
# Nb3Ni | the Alexandria database | PBE-GGA | relaxed
# N(E_F) = 6.03 states/eV per cell
# E_tot = -35.67 eV per formula unit
data_Nb3Ni
_chemical_formula_sum 'Nb3 Ni1'
_space_group_name_H-M_alt 'P m -3 m'
_space_group_IT_number 221
_space_group_name_Hall '-P 4 2 3'
_cell_length_a 4.049
_cell_length_b 4.049
_cell_length_c 4.049
_cell_angle_alpha 90.00
_cell_angle_beta 90.00
_cell_angle_gamma 90.00
loop_
_atom_site_label
_atom_site_fract_x
_atom_site_fract_y
_atom_site_fract_z
Nb1 0.000 0.000 0.500
Ni1 0.500 0.500 0.500

=====

12.
# NbNi3 | the Alexandria database | PBE-GGA | relaxed
# N(E_F) = 3.89 states/eV per cell
# E_tot = -27.78 eV per formula unit
data_NbNi3
_chemical_formula_sum 'Nb1 Ni3'
_space_group_name_H-M_alt 'P m m 2'
_space_group_IT_number 25
_space_group_name_Hall 'P 2 -2'
_cell_length_a 2.724
_cell_length_b 4.176
_cell_length_c 4.472
_cell_angle_alpha 90.00
_cell_angle_beta 90.00
_cell_angle_gamma 90.00
loop_
_atom_site_label
_atom_site_fract_x
_atom_site_fract_y
_atom_site_fract_z
Nb1 0.000 0.000 0.000
Ni1 0.000 0.500 0.654
Ni2 0.500 0.000 0.503
Ni3 0.500 0.500 0.181

=====

13.
# NbNi7 | the Alexandria database | PBE-GGA | relaxed
# N(E_F) = 13.14 states/eV per cell
# E_tot = -51.35 eV per formula unit
data_NbNi7
_chemical_formula_sum 'Nb1 Ni7'
_space_group_name_H-M_alt 'P -6 m 2'
_space_group_IT_number 187
_space_group_name_Hall 'P -6 2'
_cell_length_a 5.1209
_cell_length_b 5.1209
_cell_length_c 4.1195
_cell_angle_alpha 90.00
_cell_angle_beta 90.00
_cell_angle_gamma 120.00
loop_
_atom_site_label
_atom_site_fract_x
_atom_site_fract_y
_atom_site_fract_z
Nb1 0.0000 0.0000 0.0000
Ni1 0.0036 0.5018 0.0000
Ni2 0.3333 0.6667 0.5000
Ni3 0.3454 0.1727 0.5000

=====

14.
# NbNi2 | the Alexandria database | PBE-GGA | relaxed
# N(E_F) = 32.34 states/eV per cell
# E_tot = -22.22 eV per formula unit
data_NbNi2
_chemical_formula_sum 'Nb8 Ni16'
_space_group_name_H-M_alt 'P 63/m m c'
_space_group_IT_number 194
_space_group_name_Hall '-P 6c 2c'
_cell_length_a 4.8084
_cell_length_b 4.8084
_cell_length_c 15.6754
_cell_angle_alpha 90.00
_cell_angle_beta 90.00
_cell_angle_gamma 120.00
loop_
_atom_site_label
_atom_site_fract_x
_atom_site_fract_y
_atom_site_fract_z
Nb1 0.0000 0.0000 0.0985
Nb2 0.3333 0.6667 0.1540
Ni1 0.0000 0.5000 0.0000
Ni2 0.1645 0.3291 0.7500
Ni3 0.3333 0.6667 0.6241

=====

15.
# NbNi | the Alexandria database | PBE-GGA | relaxed
# N(E_F) = 14.56 states/eV per cell
# E_tot = -15.08 eV per formula unit
data_NbNi
_chemical_formula_sum 'Nb4 Ni4'
_space_group_name_H-M_alt 'F m -3 m'
_space_group_IT_number 225
_space_group_name_Hall '-F 4 2 3'
_cell_length_a 5.046
_cell_length_b 5.046
_cell_length_c 5.046
_cell_angle_alpha 90.00
_cell_angle_beta 90.00
_cell_angle_gamma 90.00
loop_
_atom_site_label
_atom_site_fract_x
_atom_site_fract_y
_atom_site_fract_z
Nb1 0.000 0.000 0.000
Ni1 0.000 0.000 0.500

=====

16.
# NbNi | the Alexandria database | PBE-GGA | relaxed
# N(E_F) = 15.81 states/eV per cell
# E_tot = -16.20 eV per formula unit
data_NbNi
_chemical_formula_sum 'Nb6 Ni6'
_space_group_name_H-M_alt 'P 63/m m c'
_space_group_IT_number 194
_space_group_name_Hall '-P 6c 2c'
_cell_length_a 4.9640
_cell_length_b 4.9640
_cell_length_c 8.1674
_cell_angle_alpha 90.00
_cell_angle_beta 90.00
_cell_angle_gamma 120.00
loop_
_atom_site_label
_atom_site_fract_x
_atom_site_fract_y
_atom_site_fract_z
Nb1 0.0000 0.0000 0.0000
Nb2 0.3333 0.6667 0.0671
Ni1 0.1730 0.3461 0.7500

=====

17.
# NbNi3 | the Alexandria database | PBE-GGA | relaxed
# N(E_F) = 3.10 states/eV per cell
# E_tot = -28.58 eV per formula unit
data_NbNi3
_chemical_formula_sum 'Nb2 Ni6'
_space_group_name_H-M_alt 'I 4/m m m'
_space_group_IT_number 139
_space_group_name_Hall '-I 4 2'
_cell_length_a 3.649
_cell_length_b 3.649
_cell_length_c 7.500
_cell_angle_alpha 90.00
_cell_angle_beta 90.00
_cell_angle_gamma 90.00
loop_
_atom_site_label
_atom_site_fract_x
_atom_site_fract_y
_atom_site_fract_z
Nb1 0.000 0.000 0.000
Ni1 0.000 0.000 0.500
Ni2 0.000 0.500 0.250

=====

18.
# Nb3Ni | the Alexandria database | PBE-GGA | relaxed
# N(E_F) = 8.75 states/eV per cell
# E_tot = -35.69 eV per formula unit
data_Nb3Ni
_chemical_formula_sum 'Nb6 Ni2'
_space_group_name_H-M_alt 'I 4/m m m'
_space_group_IT_number 139
_space_group_name_Hall '-I 4 2'
_cell_length_a 3.958
_cell_length_b 3.958
_cell_length_c 8.520
_cell_angle_alpha 90.00
_cell_angle_beta 90.00
_cell_angle_gamma 90.00
loop_
_atom_site_label
_atom_site_fract_x
_atom_site_fract_y
_atom_site_fract_z
Nb1 0.000 0.000 0.000
Nb2 0.000 0.500 0.250
Ni1 0.000 0.000 0.500

=====

19.
# NpNbNi | the Alexandria database | PBE-GGA | relaxed
# N(E_F) = 24.46 states/eV per cell
# E_tot = -28.25 eV per formula unit
data_NpNbNi
_chemical_formula_sum 'Np6 Nb6 Ni6'
_space_group_name_H-M_alt 'R -3 m'
_space_group_IT_number 166
_space_group_name_Hall '-R 3 2"'
_cell_length_a 4.3163
_cell_length_b 4.3163
_cell_length_c 19.2732
_cell_angle_alpha 90.00
_cell_angle_beta 90.00
_cell_angle_gamma 120.00
loop_
_atom_site_label
_atom_site_fract_x
_atom_site_fract_y
_atom_site_fract_z
Np1 0.0000 0.0000 0.1371
Nb1 0.0000 0.0000 0.2989
Ni1 0.0000 0.0000 0.4339

=====

20.
# NpNbNi4 | the Alexandria database | PBE-GGA | relaxed
# N(E_F) = 44.59 states/eV per cell
# E_tot = -46.62 eV per formula unit
data_NpNbNi4
_chemical_formula_sum 'Np4 Nb4 Ni16'
_space_group_name_H-M_alt 'F -4 3 m'
_space_group_IT_number 216
_space_group_name_Hall 'F -4 2 3'
_cell_length_a 6.951
_cell_length_b 6.951
_cell_length_c 6.951
_cell_angle_alpha 90.00
_cell_angle_beta 90.00
_cell_angle_gamma 90.00
loop_
_atom_site_label
_atom_site_fract_x
_atom_site_fract_y
_atom_site_fract_z
Np1 0.000 0.000 0.000
Nb1 0.250 0.250 0.750
Ni1 0.125 0.125 0.375

=====

Number 1: E_form -0.004 eV per atom. Number 2: E_form 0.511 eV per atom. Number 3: E_form 0.028 eV per atom. Number 4: E_form 0.126 eV per atom. Number 5: E_form -0.223 eV per atom. Number 6: E_form 0.263 eV per atom. Number 7: E_form 1.137 eV per atom. Number 8: E_form 1.058 eV per atom. Number 9: E_form 0.127 eV per atom. Number 10: E_form -0.130 eV per atom. Number 11: E_form 0.080 eV per atom. Number 12: E_form -0.091 eV per atom. Number 13: E_form -0.102 eV per atom. Number 14: E_form -0.197 eV per atom. Number 15: E_form 0.384 eV per atom. Number 16: E_form -0.174 eV per atom. Number 17: E_form -0.290 eV per atom. Number 18: E_form 0.075 eV per atom. Number 19: E_form 0.180 eV per atom. Number 20: E_form -0.080 eV per atom.